# NaGe2Se2, relaxed, DFT GGA-PBEsol
data_NaGe2Se2
_cell_length_a 3.889
_cell_length_b 3.889
_cell_length_c 14.388
_cell_angle_alpha 90.00
_cell_angle_beta 90.00
_cell_angle_gamma 90.00
_symmetry_space_group_name_H-M 'I 4/m m m'
_symmetry_Int_Tables_number 139
_symmetry_space_group_name_Hall '-I 4 2'
loop_
_atom_site_label
_atom_site_fract_x
_atom_site_fract_y
_atom_site_fract_z
Na1 0.000 0.000 0.000
Ge1 0.000 0.500 0.250
Se1 0.000 0.000 0.408
# **Raw total energy**: -3.984 eV per atom
# **Magnetic moment**: 0.00 μB/cell
# **E_form (uncorrected)**: -0.189 eV per atom
# **Volume**: 217.6 Å³ per cell